# 1
# RuAu

RuAu after structural relaxation (GGA-PBE, the Alexandria database).

## Properties
- N(E_F) (states/eV/cell) = 16.4
- relative energy among the computed polymorphs (eV/atom) = 0.277
- crystal system = tetragonal
- ΔH_f (0 K) (meV/atom) = 455
- M_tot (μB per atom) = 0.00

a b c (Å): 8.0643 8.0643 4.1760
angles (deg): 90.00 90.00 90.00
With the nearest neighbours (Å) after each atom.
Positions (direct):
Au  0.5000  0.8074  0.5000  6 Ru 2.73-2.81, 4 Au 3.03
Ru  0.1541  0.1541  0.5000  2 Ru 2.48, 4 Au 2.73
Au  0.6926  0.0000  0.0000  6 Ru 2.73-2.81, 4 Au 3.03
Ru  0.8459  0.8459  0.5000  2 Ru 2.48, 4 Au 2.73
Au  0.3074  0.0000  0.0000  6 Ru 2.73-2.81, 4 Au 3.03
Ru  0.1541  0.8459  0.5000  2 Ru 2.48, 4 Au 2.73
Ru  0.6541  0.6541  0.0000  2 Ru 2.48, 4 Au 2.73
Au  0.0000  0.3074  0.0000  6 Ru 2.73-2.81, 4 Au 3.03
Ru  0.3459  0.3459  0.0000  2 Ru 2.48, 4 Au 2.73
Au  0.5000  0.1926  0.5000  6 Ru 2.73-2.81, 4 Au 3.03
Au  0.8074  0.5000  0.5000  6 Ru 2.73-2.81, 4 Au 3.03
Ru  0.3459  0.6541  0.0000  2 Ru 2.48, 4 Au 2.73
Au  0.0000  0.6926  0.0000  6 Ru 2.73-2.81, 4 Au 3.03
Ru  0.6541  0.3459  0.0000  2 Ru 2.48, 4 Au 2.73
Au  0.1926  0.5000  0.5000  6 Ru 2.73-2.81, 4 Au 3.03
Ru  0.8459  0.1541  0.5000  2 Ru 2.48, 4 Au 2.73

***

# 2
# Ru2Au

Ru2Au after structural relaxation (GGA-PBE, the Alexandria database).

## Properties
- N(E_F) (states/eV/cell) = 14.6
- relative energy among the computed polymorphs (eV/atom) = 0.160
- crystal system = orthorhombic
- ΔH_f (0 K) (meV/atom) = 387
- M_tot (μB per atom) = 0.00

a b c (Å): 5.5585 3.9172 8.3880
angles (deg): 90.00 90.00 90.00
With the nearest neighbours (Å) after each atom.
Positions (direct):
Ru  0.6200  0.2500  0.2345  7 Ru 2.64-2.91, 4 Au 2.72-2.80
Au  0.6203  0.2500  0.5890  10 Ru 2.72-2.97, 2 Au 2.80
Ru  0.1105  0.2500  0.5805  7 Ru 2.64-2.91, 5 Au 2.73-2.85
Ru  0.8800  0.7500  0.7345  7 Ru 2.64-2.91, 4 Au 2.72-2.80
Ru  0.3800  0.7500  0.7655  7 Ru 2.64-2.91, 4 Au 2.72-2.80
Au  0.3797  0.7500  0.4110  10 Ru 2.72-2.97, 2 Au 2.80
Ru  0.6105  0.2500  0.9195  7 Ru 2.64-2.91, 5 Au 2.73-2.85
Ru  0.3895  0.7500  0.0805  7 Ru 2.64-2.91, 5 Au 2.73-2.85
Au  0.1203  0.2500  0.9110  10 Ru 2.72-2.97, 2 Au 2.80
Ru  0.8895  0.7500  0.4195  7 Ru 2.64-2.91, 5 Au 2.73-2.85
Au  0.8797  0.7500  0.0890  10 Ru 2.72-2.97, 2 Au 2.80
Ru  0.1200  0.2500  0.2655  7 Ru 2.64-2.91, 4 Au 2.72-2.80

***

# 3
# RuAu

RuAu after structural relaxation (GGA-PBE, the Alexandria database).

## Properties
- N(E_F) (states/eV/cell) = 14.7
- relative energy among the computed polymorphs (eV/atom) = 0.210
- crystal system = orthorhombic
- ΔH_f (0 K) (meV/atom) = 388
- M_tot (μB per atom) = 0.00

a b c (Å): 10.3484 4.4146 5.7907
angles (deg): 90.00 90.00 90.00
With the nearest neighbours (Å) after each atom.
Positions (direct):
Ru  0.5817  0.2500  0.8201  3 Ru 2.37-2.56
Au  0.4244  0.7500  0.6642  7 Ru 2.81-3.00, 4 Au 2.83-2.88
Au  0.5756  0.2500  0.3358  7 Ru 2.81-3.00, 4 Au 2.83-2.88
Au  0.0756  0.2500  0.1642  7 Ru 2.81-3.00, 4 Au 2.83-2.88
Ru  0.4183  0.7500  0.1799  3 Ru 2.37-2.56
Au  0.3068  0.2500  0.4407  6 Ru 2.71-2.91, 4 Au 2.83-2.88
Ru  0.6310  0.7500  0.0267  3 Ru 2.37-2.56
Au  0.1932  0.7500  0.9407  6 Ru 2.71-2.91, 4 Au 2.83-2.88
Au  0.9244  0.7500  0.8358  7 Ru 2.81-3.00, 4 Au 2.83-2.88
Ru  0.8690  0.2500  0.5267  3 Ru 2.37-2.56
Au  0.6932  0.7500  0.5593  6 Ru 2.71-2.91, 4 Au 2.83-2.88
Ru  0.1310  0.7500  0.4733  3 Ru 2.37-2.56
Ru  0.0817  0.2500  0.6799  3 Ru 2.37-2.56
Ru  0.9183  0.7500  0.3201  3 Ru 2.37-2.56
Ru  0.3690  0.2500  0.9733  3 Ru 2.37-2.56
Au  0.8068  0.2500  0.0593  6 Ru 2.71-2.91, 4 Au 2.83-2.88

***

# 4
# Ru2Au

Ru2Au after structural relaxation (GGA-PBE, the Alexandria database).

## Properties
- N(E_F) (states/eV/cell) = 11.9
- relative energy among the computed polymorphs (eV/atom) = 0.457
- crystal system = cubic
- ΔH_f (0 K) (meV/atom) = 683
- M_tot (μB per atom) = 0.65

a b c (Å): 5.1616 5.1616 5.1616
angles (deg): 60.00 60.00 60.00
With the nearest neighbours (Å) after each atom.
Positions (direct):
Ru  0.1250  0.1250  0.6250  6 Ru 2.58
Ru  0.6250  0.1250  0.1250  6 Ru 2.58
Ru  0.1250  0.1250  0.1250  6 Ru 2.58
Au  0.7500  0.7500  0.7500  12 Ru 3.03, 4 Au 3.16
Ru  0.1250  0.6250  0.1250  6 Ru 2.58
Au  0.5000  0.5000  0.5000  12 Ru 3.03, 4 Au 3.16

***

# 5
# Ru2Au

Ru2Au after structural relaxation (GGA-PBE, the Alexandria database).

## Properties
- N(E_F) (states/eV/cell) = 7.8
- relative energy among the computed polymorphs (eV/atom) = 0.167
- crystal system = monoclinic
- ΔH_f (0 K) (meV/atom) = 393
- M_tot (μB per atom) = 0.06

a b c (Å): 5.3456 5.3456 6.5403
angles (deg): 75.41 75.41 30.47
With the nearest neighbours (Å) after each atom.
Positions (direct):
Au  0.3328  0.3328  0.3423  8 Ru 2.74-2.98, 4 Au 2.80-2.81
Ru  0.6618  0.6618  0.6676  8 Ru 2.65-2.92, 4 Au 2.77
Ru  0.2705  0.2705  0.9230  8 Ru 2.65-2.84, 3 Au 2.72-2.90
Ru  0.9521  0.9521  0.6161  9 Ru 2.67-2.92, 3 Au 2.69-2.80
Ru  0.6177  0.6177  0.2821  7 Ru 2.68-2.84, 5 Au 2.74-2.86
Au  0.9984  0.9984  0.0024  8 Ru 2.69-2.90, 4 Au 2.80-2.81

***

# 6
# RuAu2

RuAu2 after structural relaxation (GGA-PBE, the Alexandria database).

## Properties
- N(E_F) (states/eV/cell) = 4.2
- relative energy among the computed polymorphs (eV/atom) = 0.189
- crystal system = tetragonal
- ΔH_f (0 K) (meV/atom) = 501
- M_tot (μB per atom) = 0.24

a b c (Å): 4.7631 4.7631 2.6877
angles (deg): 90.00 90.00 90.00
With the nearest neighbours (Å) after each atom.
Positions (direct):
Ru  0.0000  0.0000  0.0000  2 Ru 2.69, 8 Au 2.73
Au  0.5000  0.0000  0.5000  2 Au 2.69, 4 Ru 2.73
Au  0.0000  0.5000  0.5000  2 Au 2.69, 4 Ru 2.73